# 1
Ta2AuSe: optimized geometry, PBE.

Cell and atoms, written as POSCAR:
```
Ta2AuSe
1.0
-8.184 1.802 -2.830
-8.690 -0.889 -1.392
-8.668 1.748 0.225
Au Se Ta
1 1 2
Cartesian
-6.386 0.665 -0.999
-19.157 1.996 -2.998
-0.136 0.014 -0.021
-12.635 1.316 -1.977
```

## Properties
The calculation puts the formation energy without anion corrections at 39 meV per atom. As for the space group: No. 166.



# 2
KCeTl2: optimized geometry, PBE.

Cell and atoms, written as POSCAR:
```
KCeTl2
1.0
-4.106 -0.868 3.820
1.337 -1.396 5.336
-0.806 3.734 4.197
Tl K Ce
2 1 1
Cartesian
-0.894 0.368 3.338
-2.681 1.103 10.015
-1.787 0.735 6.677
0.000 0.000 0.000
```

## Properties
The formation enthalpy at 0 K is -0.026 eV per atom. The value obtained for the energy relative to the lowest polymorph listed for this composition is 100 meV/atom. As for the space group: No. 225.



# 3
LiThBePt3: optimized geometry, PBE.

Cell and atoms, written as POSCAR:
```
LiThBePt3
1.0
5.548 0.000 0.000
0.000 6.750 0.000
0.000 -3.375 5.571
Li Th Be Pt
2 2 2 6
Cartesian
1.387 3.375 5.169
4.161 0.000 0.402
4.161 0.000 3.294
1.387 3.375 2.278
1.387 0.000 4.345
4.161 3.375 1.226
1.387 0.000 2.089
0.000 1.944 0.000
2.774 4.806 0.000
2.774 1.944 0.000
0.000 4.806 0.000
4.161 3.375 3.482
```

## Properties
The formation enthalpy at 0 K is -0.694 eV per atom. As for the space group: No. 63.



Number 1: total DFT energy (no corrections) -7.5774 eV per atom. Number 2: total DFT energy (no corrections) -2.9666 eV per atom. Number 3: total DFT energy (no corrections) -5.8911 eV per atom.